A plane-wave DFT calculation with GGA+U was carried out for Zr2MoO after structural relaxation.

Cell: 6.550 6.550 7.505 Å, 90.00 90.00 90.00°
Sites, in units of the cell vectors:
Zr  0.141  0.750  0.125
Zr  0.250  0.141  0.875
Zr  0.250  0.359  0.375
Zr  0.359  0.750  0.625
Zr  0.641  0.250  0.625
Zr  0.750  0.641  0.375
Zr  0.750  0.859  0.875
Zr  0.859  0.250  0.125
Mo  0.000  0.000  0.500
Mo  0.000  0.500  0.750
Mo  0.500  0.000  0.250
Mo  0.500  0.500  0.000
O  0.000  0.000  0.000
O  0.000  0.500  0.250
O  0.500  0.000  0.750
O  0.500  0.500  0.500

calculated density = 6.07 g/cm3
symmetry = I-42d, No. 122
energy = -7.816 eV/atom